(1)
# CrSbPb2 PBE relaxed
data_CrSbPb2
_chemical_formula_sum 'Cr3 Sb3 Pb6'
_space_group_name_H-M_alt 'P 1'
_space_group_IT_number 1
_cell_length_a 3.387
_cell_length_b 3.387
_cell_length_c 32.050
_cell_angle_alpha 90.00
_cell_angle_beta 90.00
_cell_angle_gamma 120.00
loop_
_space_group_symop_operation_xyz
'x,y,z'
loop_
_atom_site_label
_atom_site_type_symbol
_atom_site_fract_x
_atom_site_fract_y
_atom_site_fract_z
_atom_site_occupancy
Cr1 Cr 0.000 0.000 0.000 1
Cr2 Cr 0.333 0.667 0.667 1
Cr3 Cr 0.667 0.333 0.333 1
Sb1 Sb 0.000 0.000 0.729 1
Sb2 Sb 0.333 0.667 0.395 1
Sb3 Sb 0.667 0.333 0.062 1
Pb1 Pb 0.000 0.000 0.259 1
Pb2 Pb 0.000 0.000 0.493 1
Pb3 Pb 0.333 0.667 0.160 1
Pb4 Pb 0.333 0.667 0.926 1
Pb5 Pb 0.667 0.333 0.592 1
Pb6 Pb 0.667 0.333 0.826 1
# Magnetic moment = 0.88 μB per atom
# Crystal system = trigonal
# Formation energy without anion corrections = 0.31 eV per atom
# E_tot = -4.9824 eV per atom
# Space-group type = R3m (160)



(2)
# HgC3 PBE relaxed
data_HgC3
_chemical_formula_sum 'Hg4 C12'
_space_group_name_H-M_alt 'P 1'
_space_group_IT_number 1
_cell_length_a 4.414
_cell_length_b 10.485
_cell_length_c 6.733
_cell_angle_alpha 90.00
_cell_angle_beta 90.00
_cell_angle_gamma 90.00
loop_
_space_group_symop_operation_xyz
'x,y,z'
loop_
_atom_site_label
_atom_site_type_symbol
_atom_site_fract_x
_atom_site_fract_y
_atom_site_fract_z
_atom_site_occupancy
Hg1 Hg 0.000 0.105 0.250 1
Hg2 Hg 0.000 0.895 0.750 1
Hg3 Hg 0.500 0.395 0.750 1
Hg4 Hg 0.500 0.605 0.250 1
C1 C 0.000 0.467 0.750 1
C2 C 0.000 0.533 0.250 1
C3 C 0.152 0.401 0.250 1
C4 C 0.152 0.599 0.750 1
C5 C 0.348 0.099 0.750 1
C6 C 0.348 0.901 0.250 1
C7 C 0.500 0.033 0.250 1
C8 C 0.500 0.967 0.750 1
C9 C 0.652 0.099 0.750 1
C10 C 0.652 0.901 0.250 1
C11 C 0.848 0.401 0.250 1
C12 C 0.848 0.599 0.750 1
# Magnetic moment = 0.00 μB per atom
# Energy relative to the lowest polymorph listed for this composition = 1529.6 meV/atom
# Crystal system = orthorhombic
# E_tot = -4.7236 eV per atom
# Space-group type = Cmcm (63)
# DFT formation energy = 219.0 kJ/mol of atoms



(3)
# RbMnZn3 PBE relaxed
data_RbMnZn3
_chemical_formula_sum 'Rb1 Mn1 Zn3'
_space_group_name_H-M_alt 'P 1'
_space_group_IT_number 1
_cell_length_a 5.040
_cell_length_b 5.040
_cell_length_c 5.040
_cell_angle_alpha 90.00
_cell_angle_beta 90.00
_cell_angle_gamma 90.00
loop_
_space_group_symop_operation_xyz
'x,y,z'
loop_
_atom_site_label
_atom_site_type_symbol
_atom_site_fract_x
_atom_site_fract_y
_atom_site_fract_z
_atom_site_occupancy
Rb1 Rb 0.000 0.000 0.000 1
Mn1 Mn 0.500 0.500 0.500 1
Zn1 Zn 0.000 0.500 0.500 1
Zn2 Zn 0.500 0.000 0.500 1
Zn3 Zn 0.500 0.500 0.000 1
# Magnetic moment = 0.70 μB per atom
# Energy relative to the lowest polymorph listed for this composition = 0.0 meV/atom
# Crystal system = cubic
# E_tot = -2.4328 eV per atom
# Space-group type = Pm-3m (221)
# DFT formation energy = 34.6 kJ/mol of atoms



(4)
# HoGe3Ru2 PBE relaxed
data_HoGe3Ru2
_chemical_formula_sum 'Ho2 Ge6 Ru4'
_space_group_name_H-M_alt 'P 1'
_space_group_IT_number 1
_cell_length_a 6.276
_cell_length_b 6.276
_cell_length_c 8.451
_cell_angle_alpha 90.00
_cell_angle_beta 90.00
_cell_angle_gamma 140.43
loop_
_space_group_symop_operation_xyz
'x,y,z'
loop_
_atom_site_label
_atom_site_type_symbol
_atom_site_fract_x
_atom_site_fract_y
_atom_site_fract_z
_atom_site_occupancy
Ho1 Ho 0.187 0.813 0.750 1
Ho2 Ho 0.813 0.187 0.250 1
Ge1 Ge 0.131 0.869 0.250 1
Ge2 Ge 0.378 0.622 0.024 1
Ge3 Ge 0.378 0.622 0.476 1
Ge4 Ge 0.622 0.378 0.524 1
Ge5 Ge 0.622 0.378 0.976 1
Ge6 Ge 0.869 0.131 0.750 1
Ru1 Ru 0.000 0.000 0.000 1
Ru2 Ru 0.000 0.000 0.500 1
Ru3 Ru 0.472 0.528 0.750 1
Ru4 Ru 0.528 0.472 0.250 1
# Magnetic moment = 0.00 μB per atom
# Crystal system = orthorhombic
# E_tot = -6.6683 eV per atom
# Space-group type = Cmcm (63)
# DFT formation energy = -48.7 kJ/mol of atoms



(5)
# TbHgRh2 PBE relaxed
data_TbHgRh2
_chemical_formula_sum 'Tb1 Hg1 Rh2'
_space_group_name_H-M_alt 'P 1'
_space_group_IT_number 1
_cell_length_a 4.392
_cell_length_b 4.392
_cell_length_c 3.783
_cell_angle_alpha 90.00
_cell_angle_beta 90.00
_cell_angle_gamma 90.00
loop_
_space_group_symop_operation_xyz
'x,y,z'
loop_
_atom_site_label
_atom_site_type_symbol
_atom_site_fract_x
_atom_site_fract_y
_atom_site_fract_z
_atom_site_occupancy
Tb1 Tb 0.000 0.000 0.000 1
Hg1 Hg 0.500 0.500 0.000 1
Rh1 Rh 0.000 0.500 0.500 1
Rh2 Rh 0.500 0.000 0.500 1
# Magnetic moment = 0.00 μB per atom
# Crystal system = tetragonal
# E_tot = -5.4514 eV per atom
# Space-group type = P4/mmm (123)
# DFT formation energy = -52.4 kJ/mol of atoms



(6)
# BaErSb2 PBE relaxed
data_BaErSb2
_chemical_formula_sum 'Ba3 Er3 Sb6'
_space_group_name_H-M_alt 'P 1'
_space_group_IT_number 1
_cell_length_a 4.665
_cell_length_b 4.665
_cell_length_c 22.959
_cell_angle_alpha 90.00
_cell_angle_beta 90.00
_cell_angle_gamma 120.00
loop_
_space_group_symop_operation_xyz
'x,y,z'
loop_
_atom_site_label
_atom_site_type_symbol
_atom_site_fract_x
_atom_site_fract_y
_atom_site_fract_z
_atom_site_occupancy
Ba1 Ba 0.000 0.000 0.000 1
Ba2 Ba 0.333 0.667 0.667 1
Ba3 Ba 0.667 0.333 0.333 1
Er1 Er 0.000 0.000 0.500 1
Er2 Er 0.333 0.667 0.167 1
Er3 Er 0.667 0.333 0.833 1
Sb1 Sb 0.000 0.000 0.234 1
Sb2 Sb 0.000 0.000 0.766 1
Sb3 Sb 0.333 0.667 0.432 1
Sb4 Sb 0.333 0.667 0.901 1
Sb5 Sb 0.667 0.333 0.099 1
Sb6 Sb 0.667 0.333 0.568 1
# Magnetic moment = 0.00 μB per atom
# Energy relative to the lowest polymorph listed for this composition = 0.0 meV/atom
# Crystal system = trigonal
# Formation energy without anion corrections = -0.92 eV per atom
# E_tot = -4.6025 eV per atom
# Space-group type = R-3m (166)



(7)
# Cd4Sn3Hg PBE relaxed
data_Cd4Sn3Hg
_chemical_formula_sum 'Cd8 Sn6 Hg2'
_space_group_name_H-M_alt 'P 1'
_space_group_IT_number 1
_cell_length_a 12.329
_cell_length_b 6.110
_cell_length_c 6.172
_cell_angle_alpha 90.00
_cell_angle_beta 118.13
_cell_angle_gamma 90.00
loop_
_space_group_symop_operation_xyz
'x,y,z'
loop_
_atom_site_label
_atom_site_type_symbol
_atom_site_fract_x
_atom_site_fract_y
_atom_site_fract_z
_atom_site_occupancy
Cd1 Cd 0.000 0.000 0.000 1
Cd2 Cd 0.045 0.500 0.540 1
Cd3 Cd 0.270 0.253 0.975 1
Cd4 Cd 0.270 0.747 0.975 1
Cd5 Cd 0.500 0.500 0.000 1
Cd6 Cd 0.545 0.000 0.540 1
Cd7 Cd 0.770 0.247 0.975 1
Cd8 Cd 0.770 0.753 0.975 1
Sn1 Sn 0.052 0.000 0.551 1
Sn2 Sn 0.272 0.500 0.429 1
Sn3 Sn 0.496 0.000 0.993 1
Sn4 Sn 0.552 0.500 0.551 1
Sn5 Sn 0.772 0.000 0.429 1
Sn6 Sn 0.996 0.500 0.993 1
Hg1 Hg 0.274 0.000 0.428 1
Hg2 Hg 0.774 0.500 0.428 1
# Magnetic moment = 0.00 μB per atom
# Crystal system = monoclinic
# E_tot = -1.9343 eV per atom
# Space-group type = Cm (8)
# DFT formation energy = 6.0 kJ/mol of atoms



(8)
# LaCdRu PBE relaxed
data_LaCdRu
_chemical_formula_sum 'La1 Cd1 Ru1'
_space_group_name_H-M_alt 'P 1'
_space_group_IT_number 1
_cell_length_a 4.724
_cell_length_b 4.724
_cell_length_c 3.726
_cell_angle_alpha 90.00
_cell_angle_beta 90.00
_cell_angle_gamma 120.00
loop_
_space_group_symop_operation_xyz
'x,y,z'
loop_
_atom_site_label
_atom_site_type_symbol
_atom_site_fract_x
_atom_site_fract_y
_atom_site_fract_z
_atom_site_occupancy
La1 La 0.000 0.000 0.000 1
Cd1 Cd 0.667 0.333 0.500 1
Ru1 Ru 0.333 0.667 0.500 1
# Magnetic moment = 0.00 μB per atom
# Crystal system = hexagonal
# E_tot = -5.0164 eV per atom
# Space-group type = P-6m2 (187)
# DFT formation energy = 2.2 kJ/mol of atoms



(9)
# Pu2Al6Cu PBE relaxed
data_Pu2Al6Cu
_chemical_formula_sum 'Pu2 Al6 Cu1'
_space_group_name_H-M_alt 'P 1'
_space_group_IT_number 1
_cell_length_a 5.956
_cell_length_b 5.956
_cell_length_c 5.458
_cell_angle_alpha 90.00
_cell_angle_beta 90.00
_cell_angle_gamma 120.00
loop_
_space_group_symop_operation_xyz
'x,y,z'
loop_
_atom_site_label
_atom_site_type_symbol
_atom_site_fract_x
_atom_site_fract_y
_atom_site_fract_z
_atom_site_occupancy
Pu1 Pu 0.333 0.667 0.310 1
Pu2 Pu 0.667 0.333 0.690 1
Al1 Al 0.174 0.348 0.809 1
Al2 Al 0.174 0.826 0.809 1
Al3 Al 0.348 0.174 0.191 1
Al4 Al 0.652 0.826 0.809 1
Al5 Al 0.826 0.174 0.191 1
Al6 Al 0.826 0.652 0.191 1
Cu1 Cu 0.000 0.000 0.500 1
# Magnetic moment = 1.22 μB per atom
# Crystal system = trigonal
# E_tot = -6.3818 eV per atom
# Space-group type = P-3m1 (164)
# DFT formation energy = -23.8 kJ/mol of atoms



(10)
# AlCoNi14 PBE relaxed
data_AlCoNi14
_chemical_formula_sum 'Al1 Co1 Ni14'
_space_group_name_H-M_alt 'P 1'
_space_group_IT_number 1
_cell_length_a 8.156
_cell_length_b 4.990
_cell_length_c 4.990
_cell_angle_alpha 60.01
_cell_angle_beta 90.00
_cell_angle_gamma 90.00
loop_
_space_group_symop_operation_xyz
'x,y,z'
loop_
_atom_site_label
_atom_site_type_symbol
_atom_site_fract_x
_atom_site_fract_y
_atom_site_fract_z
_atom_site_occupancy
Al1 Al 0.000 0.000 0.000 1
Co1 Co 0.000 0.500 0.500 1
Ni1 Ni 0.000 0.001 0.500 1
Ni2 Ni 0.000 0.500 0.001 1
Ni3 Ni 0.249 0.334 0.334 1
Ni4 Ni 0.250 0.335 0.832 1
Ni5 Ni 0.250 0.832 0.335 1
Ni6 Ni 0.251 0.833 0.833 1
Ni7 Ni 0.500 0.166 0.667 1
Ni8 Ni 0.500 0.167 0.167 1
Ni9 Ni 0.500 0.666 0.666 1
Ni10 Ni 0.500 0.667 0.166 1
Ni11 Ni 0.749 0.833 0.833 1
Ni12 Ni 0.750 0.335 0.832 1
Ni13 Ni 0.750 0.832 0.335 1
Ni14 Ni 0.751 0.334 0.334 1
# Magnetic moment = 0.57 μB per atom
# Crystal system = orthorhombic
# E_tot = -5.8182 eV per atom
# Space-group type = Amm2 (38)
# DFT formation energy = -7.9 kJ/mol of atoms



(11)
# MgAlI2 PBE relaxed
data_MgAlI2
_chemical_formula_sum 'Mg4 Al4 I8'
_space_group_name_H-M_alt 'P 1'
_space_group_IT_number 1
_cell_length_a 7.827
_cell_length_b 7.827
_cell_length_c 7.827
_cell_angle_alpha 90.00
_cell_angle_beta 90.00
_cell_angle_gamma 90.00
loop_
_space_group_symop_operation_xyz
'x,y,z'
loop_
_atom_site_label
_atom_site_type_symbol
_atom_site_fract_x
_atom_site_fract_y
_atom_site_fract_z
_atom_site_occupancy
Mg1 Mg 0.000 0.000 0.000 1
Mg2 Mg 0.000 0.500 0.500 1
Mg3 Mg 0.500 0.000 0.500 1
Mg4 Mg 0.500 0.500 0.000 1
Al1 Al 0.000 0.000 0.500 1
Al2 Al 0.000 0.500 0.000 1
Al3 Al 0.500 0.000 0.000 1
Al4 Al 0.500 0.500 0.500 1
I1 I 0.250 0.250 0.250 1
I2 I 0.250 0.250 0.750 1
I3 I 0.250 0.750 0.250 1
I4 I 0.250 0.750 0.750 1
I5 I 0.750 0.250 0.250 1
I6 I 0.750 0.250 0.750 1
I7 I 0.750 0.750 0.250 1
I8 I 0.750 0.750 0.750 1
# Magnetic moment = 0.00 μB per atom
# Energy relative to the lowest polymorph listed for this composition = 48.3 meV/atom
# Crystal system = cubic
# Formation energy without anion corrections = -0.04 eV per atom
# E_tot = -2.1476 eV per atom
# Space-group type = Fm-3m (225)



(12)
# Rb3La2ZrS6 PBE relaxed
data_Rb3La2ZrS6
_chemical_formula_sum 'Rb3 La2 Zr1 S6'
_space_group_name_H-M_alt 'P 1'
_space_group_IT_number 1
_cell_length_a 7.177
_cell_length_b 7.177
_cell_length_c 8.076
_cell_angle_alpha 98.56
_cell_angle_beta 98.56
_cell_angle_gamma 119.99
loop_
_space_group_symop_operation_xyz
'x,y,z'
loop_
_atom_site_label
_atom_site_type_symbol
_atom_site_fract_x
_atom_site_fract_y
_atom_site_fract_z
_atom_site_occupancy
Rb1 Rb 0.000 0.000 0.000 1
Rb2 Rb 0.331 0.669 0.000 1
Rb3 Rb 0.669 0.331 0.000 1
La1 La 0.166 0.834 0.500 1
La2 La 0.834 0.166 0.500 1
Zr1 Zr 0.500 0.500 0.500 1
S1 S 0.127 0.435 0.305 1
S2 S 0.258 0.258 0.695 1
S3 S 0.435 0.127 0.305 1
S4 S 0.565 0.873 0.695 1
S5 S 0.742 0.742 0.305 1
S6 S 0.873 0.565 0.695 1
# Magnetic moment = 0.02 μB per atom
# Crystal system = monoclinic
# Formation energy without anion corrections = -1.71 eV per atom
# E_tot = -5.5468 eV per atom
# Space-group type = C2/m (12)



(13)
# LiPmTm4S8 PBE relaxed
data_LiPmTm4S8
_chemical_formula_sum 'Li1 Pm1 Tm4 S8'
_space_group_name_H-M_alt 'P 1'
_space_group_IT_number 1
_cell_length_a 8.017
_cell_length_b 8.017
_cell_length_c 8.017
_cell_angle_alpha 59.20
_cell_angle_beta 59.20
_cell_angle_gamma 59.20
loop_
_space_group_symop_operation_xyz
'x,y,z'
loop_
_atom_site_label
_atom_site_type_symbol
_atom_site_fract_x
_atom_site_fract_y
_atom_site_fract_z
_atom_site_occupancy
Li1 Li 0.000 0.000 0.000 1
Pm1 Pm 0.371 0.371 0.371 1
Tm1 Tm 0.371 0.371 0.890 1
Tm2 Tm 0.371 0.890 0.371 1
Tm3 Tm 0.749 0.749 0.749 1
Tm4 Tm 0.890 0.371 0.371 1
S1 S 0.127 0.127 0.607 1
S2 S 0.127 0.607 0.127 1
S3 S 0.133 0.133 0.133 1
S4 S 0.147 0.624 0.624 1
S5 S 0.607 0.127 0.127 1
S6 S 0.617 0.617 0.617 1
S7 S 0.624 0.147 0.624 1
S8 S 0.624 0.624 0.147 1
# Magnetic moment = 0.00 μB per atom
# Crystal system = trigonal
# Formation energy without anion corrections = -1.96 eV per atom
# E_tot = -6.0709 eV per atom
# Space-group type = R3m (160)